Entry from the Alexandria database: crystalline TeBr at its relaxed geometry (PBE-GGA).

Lattice parameters (Å, degrees): 3.562 3.562 9.921 90.00 90.00 120.00
Positions (direct):
Te: 0.333 0.667 0.250
Te: 0.667 0.333 0.750
Br: 0.000 0.000 0.000
Br: 0.000 0.000 0.500

Values from the calculation:
The total energy comes out at -8.460 eV for the cell shown. Its symmetry is P6_3/mmc, No. 194.


Entry from the Alexandria database: crystalline Ca2Sm2Ho at its relaxed geometry (PBE-GGA).

Lattice parameters (Å, degrees): 3.665 3.665 15.412 90.00 90.00 120.00
Positions (direct):
Ca: 0.333 0.667 0.108
Ca: 0.667 0.333 0.892
Sm: 0.333 0.667 0.684
Sm: 0.667 0.333 0.316
Ho: 0.000 0.000 0.500

Values from the calculation:
For the energy of formation from the pure elements, the calculation gives 46 meV/atom. The value obtained for the polymorph energy (0 for the lowest one) is 0 meV per atom. Its symmetry is P-3m1, No. 164.


Entry from the Alexandria database: crystalline TiCdBi2O6 at its relaxed geometry (PBE-GGA).

Lattice parameters (Å, degrees): 5.943 5.943 5.943 58.53 58.53 58.53
Positions (direct):
Ti: 0.000 0.000 0.000
Cd: 0.508 0.508 0.508
Bi: 0.283 0.283 0.283
Bi: 0.786 0.786 0.786
O: 0.132 0.305 0.733
O: 0.175 0.872 0.646
O: 0.305 0.733 0.132
O: 0.646 0.175 0.872
O: 0.733 0.132 0.305
O: 0.872 0.646 0.175

Values from the calculation:
The total energy comes out at -63.646 eV for the cell shown. Its symmetry is R3, No. 146.


For reference, calculated volume by record: 109.0 179.3 143.4 Å³ per cell.